1.
Below is an optimized crystal structure of Na2LiZr, with properties calculated at the PBE level.

a b c (Å): 5.319 5.319 5.319
angles (deg): 60.00 60.00 60.00
Sites, in units of the cell vectors:
Zr1 0.500 0.500 0.500
Na1 0.250 0.250 0.250
Li1 0.000 0.000 0.000
Na2 0.750 0.750 0.750

Calculated values
Energy relative to the elements ... 18.2 kcal/mol of atoms
Density ... 2.25 g/cm3
Symmetry ... Fm-3m
Excess energy over the best structure of this formula in the dataset ... 0.4651 eV per atom
Total moment ... 1.19 μB per formula unit

2.
Below is an optimized crystal structure of Tb4Ir2Rh, with properties calculated at the PBE level.

a b c (Å): 4.835 4.835 8.402
angles (deg): 73.28 73.28 60.00
Sites, in units of the cell vectors:
Tb1 0.126 0.126 0.623
Ir1 0.250 0.250 0.250
Tb2 0.874 0.874 0.377
Tb3 0.376 0.376 0.871
Rh1 0.000 0.000 0.000
Tb4 0.624 0.624 0.129
Ir2 0.750 0.750 0.750

Calculated values
Energy relative to the elements ... -18.8 kcal/mol of atoms
Density ... 11.62 g/cm3
Symmetry ... R-3m
Excess energy over the best structure of this formula in the dataset ... 0.0000 eV per atom
Total moment ... 0.00 μB per formula unit

3.
Below is an optimized crystal structure of InCu3H, with properties calculated at the PBE level.

a b c (Å): 3.907 3.907 3.907
angles (deg): 90.00 90.00 90.00
Sites, in units of the cell vectors:
Cu1 0.500 0.000 0.000
Cu2 0.000 0.500 0.000
Cu3 0.000 0.000 0.500
H1 0.000 0.000 0.000
In1 0.500 0.500 0.500

Calculated values
Density ... 8.54 g/cm3
Symmetry ... Pm-3m
Excess energy over the best structure of this formula in the dataset ... 0.0000 eV per atom
Total moment ... 0.00 μB per formula unit

4.
Below is an optimized crystal structure of La6PdPt2Br3, with properties calculated at the PBE level.

a b c (Å): 4.318 9.283 10.201
angles (deg): 109.41 102.22 90.00
Sites, in units of the cell vectors:
La1 0.344 0.890 0.688
La2 0.656 0.110 0.312
La3 0.012 0.227 0.025
Pt1 0.166 0.332 0.332
La4 0.321 0.444 0.642
Pd1 0.500 0.000 0.000
Br1 0.166 0.832 0.333
La5 0.988 0.773 0.975
Br2 0.500 0.500 0.000
Pt2 0.834 0.668 0.668
Br3 0.834 0.168 0.667
La6 0.679 0.556 0.358

Calculated values
ΔE_f (raw) ... -1257 meV per atom
Density ... 6.94 g/cm3
Symmetry ... C2/m
Total moment ... 0.00 μB per formula unit